Below is an optimized crystal structure of GaFePtO4, with properties calculated at the GGA+U level.

Computed properties:
* Fermi-level density of states: 2.1 states/eV/cell
* energy: -6.02 eV/atom
* symmetry: Imma (74)

Unit cell a=6.168 b=6.274 c=5.947 alpha=118.29 beta=90.00 gamma=119.44
Last column: magnetic moment on the atom in μB.
Sites, in units of the cell vectors:
Ga (0.500, 0.000, 0.500)  0.01
Ga (0.500, 0.000, 0.000)  0.01
Fe (0.881, 0.761, 0.131)  3.76
Fe (0.119, 0.239, 0.869)  3.76
Pt (0.500, 0.500, 0.500)  0.58
Pt (0.000, 0.500, 0.500)  0.58
O (0.724, 0.448, 0.703)  0.04
O (0.273, 0.982, 0.241)  0.16
O (0.709, 0.982, 0.241)  0.16
O (0.724, 0.448, 0.245)  0.04
O (0.276, 0.552, 0.755)  0.04
O (0.727, 0.018, 0.759)  0.16
O (0.291, 0.018, 0.759)  0.16
O (0.276, 0.552, 0.297)  0.04